DFT (PBE) results for NpAgBi after structural relaxation.

SG = R-3m
energy of formation = 0.1373 eV per atom

Cell lengths 13.792, 13.792, 13.792 Å; angles 14.63, 14.63, 14.63 degrees
Atoms (fractional coordinates):
Np (0.183, 0.183, 0.183)
Np (0.817, 0.817, 0.817)
Ag (0.358, 0.358, 0.358)
Ag (0.642, 0.642, 0.642)
Bi (0.083, 0.083, 0.083)
Bi (0.917, 0.917, 0.917)